# 1
Dy2Er2CF5, optimized geometry, DFT PBE-GGA; space group = C2/m (12); calculated total energy = -6.352 eV per atom; total magnetic moment = 0.021 μB/cell
1.0
-7.0602 0.4042 2.3771
-7.3680 -0.9620 -0.6690
3.4175 -5.4081 2.0803
F C Er Dy
5 1 2 2
Direct
0.8267 0.8267 0.1062 F
0.1733 0.1733 0.8938 F
0.8303 0.8303 0.5451 F
0.1697 0.1697 0.4549 F
0.5000 0.5000 0.5000 F
0.5000 0.5000 0.0000 C
0.0023 0.0023 0.7631 Er
0.9977 0.9977 0.2369 Er
0.3136 0.3136 0.8104 Dy
0.6864 0.6864 0.1896 Dy

---

# 2
DyErFe2Ge2C, optimized geometry, DFT PBE-GGA; space group = Cm (8); calculated total energy = -6.933 eV per atom; total magnetic moment = 0.013 μB/cell
1.0
-4.1776 3.4206 -1.8169
-5.0649 -0.3633 -2.5824
1.3065 -1.6178 6.4823
Fe Er Dy Ge C
2 1 1 2 1
Direct
0.1957 0.1957 0.0890 Fe
0.8038 0.8038 0.9102 Fe
0.4427 0.4427 0.7121 Er
0.5582 0.5582 0.2897 Dy
0.8378 0.8378 0.2918 Ge
0.1625 0.1625 0.7089 Ge
0.9994 0.9994 0.9982 C

---

# 3
K2Dy3ErC2, optimized geometry, DFT PBE-GGA; space group = P3m1 (156); calculated total energy = -4.932 eV per atom; total magnetic moment = 0.084 μB/cell
1.0
-2.6564 1.7160 -1.7502
0.5261 -3.5360 -0.5331
-12.9493 -4.2599 15.4772
Dy C K Er
3 2 2 1
Direct
0.3333 0.6667 0.5644 Dy
0.0000 0.0000 0.4351 Dy
0.3333 0.6667 0.9360 Dy
0.6667 0.3333 0.4998 C
0.6667 0.3333 0.0011 C
0.3333 0.6667 0.2491 K
0.0000 0.0000 0.7503 K
0.0000 0.0000 0.0641 Er

---

# 4
KDyErC, optimized geometry, DFT PBE-GGA; space group = P-6m2 (187); calculated total energy = -4.930 eV per atom; total magnetic moment = 0.148 μB/cell
1.0
3.6067 0.0000 0.0000
-1.8034 3.1235 0.0000
0.0000 0.0000 20.5680
C Er K Dy
2 2 2 2
Direct
0.0000 0.0000 0.2514 C
0.0000 0.0000 0.7486 C
0.3333 0.6667 0.6853 Er
0.3333 0.6667 0.3147 Er
0.6667 0.3333 0.5000 K
0.3333 0.6667 0.0000 K
0.6667 0.3333 0.8140 Dy
0.6667 0.3333 0.1860 Dy

---

# 5
KDyErC, optimized geometry, DFT PBE-GGA; space group = P-3m1 (164); calculated total energy = -4.930 eV per atom; total magnetic moment = 0.153 μB/cell
1.0
-2.5186 -2.5370 0.4835
0.8418 1.0940 -3.3329
14.4684 -14.5794 -1.1313
Dy K Er C
2 2 2 2
Direct
0.6667 0.3333 0.5649 Dy
0.3333 0.6667 0.4351 Dy
0.3333 0.6667 0.7512 K
0.6667 0.3333 0.2488 K
0.6667 0.3333 0.9362 Er
0.3333 0.6667 0.0638 Er
0.0000 0.0000 0.5000 C
0.0000 0.0000 0.0000 C

---

# 6
DyErMo2C3, optimized geometry, DFT PBE-GGA; space group = Cm (8); calculated total energy = -8.696 eV per atom; total magnetic moment = 0.004 μB/cell
1.0
5.6530 -1.6899 0.0000
5.6530 1.6899 0.0000
-1.7577 0.0000 5.4026
C Mo Dy Er
3 2 1 1
Direct
0.0006 0.0006 0.0025 C
0.7287 0.7287 0.7561 C
0.2699 0.2699 0.2424 C
0.8504 0.8504 0.1272 Mo
0.1497 0.1497 0.8729 Mo
0.3863 0.3863 0.6792 Dy
0.6144 0.6144 0.3196 Er

---

# 7
DyErNi2C2N2, optimized geometry, DFT PBE-GGA; space group = P4mm (99); calculated total energy = -7.579 eV per atom; total magnetic moment = 0.000 μB/cell
1.0
3.4408 0.0000 0.0000
0.0000 3.4408 0.0000
0.0000 0.0000 7.3000
Ni C N Er Dy
2 2 2 1 1
Direct
0.0000 0.5000 0.5009 Ni
0.5000 0.0000 0.5009 Ni
0.5000 0.5000 0.3377 C
0.0000 0.0000 0.6609 C
0.5000 0.5000 0.1451 N
0.0000 0.0000 0.8534 N
0.5000 0.5000 0.8284 Er
0.0000 0.0000 0.1728 Dy

---

# 8
DyErSi2Ni2C, optimized geometry, DFT PBE-GGA; space group = Cm (8); calculated total energy = -6.392 eV per atom; total magnetic moment = 0.001 μB/cell
1.0
5.2710 -1.9349 0.0000
5.2710 1.9349 0.0000
-4.2230 0.0000 5.2803
Si Ni C Er Dy
2 2 1 1 1
Direct
0.8499 0.8499 0.3974 Si
0.1495 0.1495 0.6036 Si
0.2050 0.2050 0.3098 Ni
0.7951 0.7951 0.6916 Ni
0.0015 0.0015 0.9984 C
0.5632 0.5632 0.8338 Er
0.4358 0.4358 0.1655 Dy

---

What did the fourth record say?
KDyErC, optimized geometry, DFT PBE-GGA; space group = P-6m2 (187); calculated total energy = -4.930 eV per atom; total magnetic moment = 0.148 μB/cell
1.0
3.6067 0.0000 0.0000
-1.8034 3.1235 0.0000
0.0000 0.0000 20.5680
C Er K Dy
2 2 2 2
Direct
0.0000 0.0000 0.2514 C
0.0000 0.0000 0.7486 C
0.3333 0.6667 0.6853 Er
0.3333 0.6667 0.3147 Er
0.6667 0.3333 0.5000 K
0.3333 0.6667 0.0000 K
0.6667 0.3333 0.8140 Dy
0.6667 0.3333 0.1860 Dy